Material: Hf4Zr3Ti2
Method: DFT, PBE-GGA
State: relaxed

The value obtained for the energy relative to the elements is 0.11 eV per atom. The calculation puts the mass density at 9.15 Mg/m³.

It has space group P-1 (No. 2), with a = 5.6187 Å, b = 8.5567 Å, c = 8.6174 Å, α = 73.74°, β = 84.64° and γ = 81.85°. Symmetry generates all atoms from Hf at (0.0175, 0.3032, 0.3450), Hf at (0.0925, 0.1738, 0.9624), Hf at (0.3856, 0.5383, 0.3185), Hf at (0.4829, 0.1814, 0.1807), Zr at (0.0360, 0.0231, 0.6849), Zr at (0.2458, 0.5255, 0.9635), Zr at (0.4686, 0.8215, 0.4775), Ti at (0.1322, 0.3780, 0.6297) and Ti at (0.3894, 0.8731, 0.1247).

Material: LaCrMo2
Method: DFT, PBE-GGA
State: relaxed

Its polymorph energy (0 for the lowest one) is 204 meV per atom. The value obtained for the energy relative to the elements is 0.62 eV per atom. The calculation puts the mass density at 9.10 Mg/m³.

It has space group Fm-3m (No. 225), with a = 6.5364 Å, b = 6.5364 Å, c = 6.5364 Å, α = 90.00°, β = 90.00° and γ = 90.00°. Symmetry generates all atoms from La at (0.0000, 0.0000, 0.0000), Cr at (0.0000, 0.0000, 0.5000) and Mo at (0.2500, 0.2500, 0.2500).